Entry 1:
The following is a GGA-PBEsol calculation of crystalline TaCo2Br at its relaxed geometry, from Alexandria via LeMat-Bulk.

Its crystal system is tetragonal. The density of states at the Fermi level comes out at 3.785 states/eV per cell. Its offset from the most stable computed form is 0 meV/atom. As for the uncorrected formation energy: 0.313 eV/atom.

Cell: 3.0681 3.0681 6.7247 Å, 90.00 90.00 90.00°
Closest atoms and distances in Å follow each position.
Fractional coordinates of all 4 atoms:
Ta 0.0000 0.0000 0.4556  5 Co 2.42-2.66
Br 0.5000 0.5000 0.7228  4 Ta 2.82, 4 Br 3.07
Co 0.5000 0.5000 0.2258  4 Co 2.34
Co 0.0000 0.0000 0.0958  4 Co 2.34, 1 Ta 2.42

***

Entry 2:
The following is a GGA-PBEsol calculation of crystalline BaInAs2 at its relaxed geometry, from Alexandria via LeMat-Bulk.

Its crystal system is monoclinic. As for the total DFT energy (no corrections): -4.218 eV per atom. The density of states at the Fermi level comes out at 2.115 states/eV per cell.

Cell: 3.9247 4.0253 6.6403 Å, 91.27 90.00 90.00°
Closest atoms and distances in Å follow each position.
Fractional coordinates of all 4 atoms:
As 0.0000 0.0428 0.8099  1 As 2.56
As 0.0000 0.9572 0.1901  1 As 2.56
In 0.5000 0.5000 0.0000  8 As 2.95-3.22
Ba 0.5000 0.5000 0.5000  2 In 3.32, 8 As 3.41-3.56